A | First-principles (GGA-PBE) data for crystalline TaTl2Cd at its relaxed geometry, as listed in the Alexandria database.

Properties
SG: F-43m
Crystal system: cubic

abc: 5.154 5.154 5.154
angles: 60.00 60.00 60.00
Fractional coordinates of all 4 atoms:
Ta 0.000 0.000 0.000
Tl 0.500 0.500 0.500
Tl 0.750 0.750 0.750
Cd 0.250 0.250 0.250

B | First-principles (GGA-PBE) data for crystalline TaTl2Cd at its relaxed geometry, as listed in the Alexandria database.

Properties
SG: Pmm2
Crystal system: orthorhombic

abc: 3.059 5.448 5.442
angles: 90.00 90.00 90.00
Fractional coordinates of all 4 atoms:
Ta 0.000 0.000 0.000
Tl 0.000 0.500 0.696
Tl 0.500 0.000 0.496
Cd 0.500 0.500 0.170

Which structure is the most stable? The one labeled B.